Record 1
{"formula": "BaLaSn3", "functional": "PBE", "state": "optimized geometry", "crystal_system": "orthorhombic", "formation_energy_ev_per_atom": -0.6367, "m_tot_mub_per_cell": 0.00, "total_energy_ha_per_atom": -0.162, "spacegroup": "Cmcm", "cell": [[4.613, 0.000, 0.000], [0.000, 4.932, 0.000], [0.000, -2.466, 15.324]], "species": ["Ba", "Ba", "Sn", "Sn", "Sn", "Sn", "Sn", "Sn", "La", "La"], "frac_coords": [[0.750, 0.923, 0.845], [0.250, 0.077, 0.155], [0.250, 0.691, 0.381], [0.750, 0.528, 0.056], [0.750, 0.309, 0.619], [0.250, 0.372, 0.744], [0.750, 0.628, 0.256], [0.250, 0.472, 0.944], [0.250, 0.797, 0.594], [0.750, 0.203, 0.406]]}

=====

Record 2
{"formula": "BaLaSn", "functional": "PBE", "state": "optimized geometry", "crystal_system": "trigonal", "formation_energy_ev_per_atom": -0.3802, "m_tot_mub_per_cell": 0.00, "total_energy_ha_per_atom": -0.147, "spacegroup": "P3m1", "cell": [[4.270, 0.000, 0.000], [0.000, 5.438, 0.000], [0.000, -2.719, 4.710]], "species": ["Sn", "La", "Ba"], "frac_coords": [[0.611, 0.667, 0.333], [0.393, 0.333, 0.667], [0.996, 0.000, 0.000]]}

=====

Record 3
{"formula": "BaLaSn2", "functional": "PBE", "state": "optimized geometry", "crystal_system": "orthorhombic", "formation_energy_ev_per_atom": -0.6509, "m_tot_mub_per_cell": 0.00, "total_energy_ha_per_atom": -0.160, "spacegroup": "Pnma", "cell": [[7.758, 0.000, 0.000], [0.000, 7.921, 0.000], [0.000, 0.000, 9.690]], "species": ["La", "La", "La", "La", "Sn", "Sn", "Sn", "Sn", "Sn", "Sn", "Sn", "Sn", "Ba", "Ba", "Ba", "Ba"], "frac_coords": [[0.250, 0.171, 0.174], [0.250, 0.671, 0.326], [0.750, 0.329, 0.674], [0.750, 0.829, 0.826], [0.557, 0.186, 0.953], [0.443, 0.814, 0.047], [0.557, 0.686, 0.547], [0.443, 0.314, 0.453], [0.943, 0.186, 0.953], [0.057, 0.814, 0.047], [0.057, 0.314, 0.453], [0.943, 0.686, 0.547], [0.250, 0.501, 0.810], [0.750, 0.999, 0.310], [0.750, 0.499, 0.190], [0.250, 0.001, 0.690]]}

=====

Record 4
{"formula": "Ba2La2Sn", "functional": "PBE", "state": "optimized geometry", "crystal_system": "tetragonal", "formation_energy_ev_per_atom": -0.0927, "m_tot_mub_per_cell": 4.08, "total_energy_ha_per_atom": -0.134, "spacegroup": "P4/mbm", "cell": [[8.470, 0.000, 0.000], [0.000, 8.470, 0.000], [0.000, 0.000, 6.050]], "species": ["La", "La", "La", "La", "Sn", "Sn", "Ba", "Ba", "Ba", "Ba"], "frac_coords": [[0.638, 0.138, 0.000], [0.862, 0.638, 0.000], [0.362, 0.862, 0.000], [0.138, 0.362, 0.000], [0.000, 0.000, 0.000], [0.500, 0.500, 0.000], [0.175, 0.675, 0.500], [0.825, 0.325, 0.500], [0.325, 0.175, 0.500], [0.675, 0.825, 0.500]]}